Entry 1:
A relaxed structure of AcPr7Y12. Source: the Alexandria database, functional GGA-PBE.

extended XYZ file:
```
20
Lattice="6.173 3.564 5.367 -6.173 3.564 5.367 0.000 -7.128 5.367" Properties=species:S:1:pos:R:3 pbc="T T T"
Ac 0.000 0.000 0.000
Pr -2.068 0.444 3.266
Pr 0.649 -2.013 3.266
Pr 1.419 1.569 3.266
Pr 0.000 0.000 8.050
Pr -1.419 -1.569 12.834
Pr -0.649 2.013 12.834
Pr 2.068 -0.444 12.834
Y -2.983 -0.846 6.769
Y -0.778 -3.643 6.063
Y -2.766 2.496 6.063
Y -3.545 -1.148 10.037
Y -0.759 -3.007 9.331
Y 2.224 -2.161 6.769
Y -2.224 2.161 9.331
Y 0.759 3.007 6.769
Y 3.545 1.148 6.063
Y 2.766 -2.496 10.037
Y 0.778 3.643 10.037
Y 2.983 0.846 9.331
```

E_form ... 0.223 eV per atom
E above lowest polymorph ... 0 meV per atom
Total moment ... 0.001 μB per cell
Space-group type ... R-3 (148)


Entry 2:
A relaxed structure of Li4Al2Ge. Source: the Alexandria database, functional GGA-PBE.

extended XYZ file:
```
7
Lattice="-2.364 2.364 6.769 2.364 -2.364 6.769 2.364 2.364 -6.769" Properties=species:S:1:pos:R:3 pbc="T T T"
Li 2.364 0.000 0.000
Li 0.000 0.000 2.585
Li 0.000 2.364 0.000
Li 0.000 0.000 10.953
Al 0.000 0.000 5.368
Al 0.000 0.000 8.170
Ge 0.000 0.000 0.000
```

E_form ... 0.156 eV per atom
Total moment ... 0.000 μB per cell
Space-group type ... I4/mmm (139)


Entry 3:
A relaxed structure of Hf5ZrSb2. Source: the Alexandria database, functional GGA-PBE.

extended XYZ file:
```
8
Lattice="-1.803 4.666 5.423 1.803 -4.666 5.423 1.803 4.666 -5.423" Properties=species:S:1:pos:R:3 pbc="T T T"
Hf 0.000 0.000 0.000
Hf 1.803 1.920 -1.510
Hf 1.803 1.920 1.510
Hf 0.000 2.746 3.913
Hf 0.000 2.746 6.933
Zr 0.000 4.666 0.000
Sb 0.000 0.000 2.964
Sb 0.000 0.000 7.882
```

DFT total energy ... -8.53 eV per atom
Total moment ... 0.000 μB per cell
Space-group type ... Immm (71)


Entry 4:
A relaxed structure of Ho4TlBi3O12. Source: the Alexandria database, functional GGA-PBE.

extended XYZ file:
```
20
Lattice="-4.274 4.274 4.274 4.274 -4.274 4.274 4.274 4.274 -4.274" Properties=species:S:1:pos:R:3 pbc="T T T"
Ho 2.137 2.137 -2.137
Ho 2.137 -2.137 2.137
Ho -2.137 2.137 2.137
Ho 2.137 2.137 2.137
Tl 0.000 0.000 0.000
Bi 4.274 0.000 0.000
Bi 0.000 4.274 0.000
Bi 0.000 0.000 4.274
O 4.274 2.639 -1.581
O 2.692 0.000 1.634
O 5.855 0.000 1.634
O 1.634 2.692 0.000
O 2.639 -1.581 4.274
O 4.274 2.639 1.581
O 0.000 1.634 2.692
O 1.634 5.855 0.000
O 2.639 1.581 4.274
O -1.581 4.274 2.639
O 1.581 4.274 2.639
O 0.000 1.634 5.855
```

DFT total energy ... -6.76 eV per atom
Total moment ... 1.682 μB per cell
Space-group type ... Im-3 (204)


Entry 5:
A relaxed structure of Ho3CdPt. Source: the Alexandria database, functional GGA-PBE.

extended XYZ file:
```
10
Lattice="5.749 0.000 0.000 -2.014 5.482 0.000 -1.863 -2.710 8.183" Properties=species:S:1:pos:R:3 pbc="T T T"
Ho -0.488 0.331 2.331
Ho -0.486 0.363 5.862
Ho -0.074 4.112 0.768
Ho 1.945 -1.340 7.415
Ho 2.357 2.409 2.321
Ho 2.359 2.441 5.853
Cd -0.796 2.971 4.074
Cd 2.668 -0.199 4.109
Pt 0.934 1.366 0.001
Pt 0.937 1.406 8.182
```

E_form ... -0.633 eV per atom
Total moment ... 0.000 μB per cell
Space-group type ... P-1 (2)


Entry 6:
A relaxed structure of NdHo3H8. Source: the Alexandria database, functional GGA-PBE.

extended XYZ file:
```
12
Lattice="5.223 0.000 0.000 0.000 5.223 0.000 0.000 0.000 5.223" Properties=species:S:1:pos:R:3 pbc="T T T"
Nd 0.000 0.000 0.000
Ho 0.000 2.612 2.612
Ho 2.612 0.000 2.612
Ho 2.612 2.612 0.000
H 1.350 1.350 1.350
H 1.350 1.350 3.873
H 1.350 3.873 1.350
H 1.350 3.873 3.873
H 3.873 1.350 1.350
H 3.873 1.350 3.873
H 3.873 3.873 1.350
H 3.873 3.873 3.873
```

DFT total energy ... -4.48 eV per atom
Total moment ... 0.000 μB per cell
Space-group type ... Pm-3m (221)


- What is the total moment in the fourth record?
  1.682 μB per cell


- Which of these has the highest total moment?
  Ho4TlBi3O12


- Look up the total moment of the fourth one.
  1.682 μB per cell